CsK4Br3F12: optimized geometry, PBE-GGA.

a = 8.140 Å, b = 8.140 Å, c = 8.140 Å
α = 109.47°, β = 109.47°, γ = 109.47°
Last column: magnetic moment on the atom in μB.
Fractional coordinates of all 20 atoms:
Cs: 0.000 0.000 0.000  0.00
K: 0.500 0.000 0.000  0.00
K: 0.500 0.500 0.500  0.00
K: 0.000 0.500 0.000  0.00
K: 0.000 0.000 0.500  0.00
Br: 0.000 0.500 0.500  0.32
Br: 0.500 0.500 0.000  0.32
Br: 0.500 0.000 0.500  0.32
F: 0.326 0.862 0.187  0.06
F: 0.674 0.138 0.813  0.06
F: 0.674 0.862 0.536  0.06
F: 0.813 0.674 0.138  0.06
F: 0.862 0.187 0.326  0.06
F: 0.138 0.464 0.326  0.06
F: 0.464 0.326 0.138  0.06
F: 0.138 0.813 0.674  0.06
F: 0.326 0.138 0.464  0.06
F: 0.187 0.326 0.862  0.06
F: 0.862 0.536 0.674  0.06
F: 0.536 0.674 0.862  0.06

Output
For the raw formation energy, the calculation gives -1766 meV/atom. Its crystal system is cubic. Its density of states at the Fermi level is 0.550 states/eV per atom. The calculation puts the density at 3.0 Mg/m³.

CsLaBrF2: optimized geometry, PBE-GGA.

a = 4.893 Å, b = 4.893 Å, c = 6.151 Å
α = 90.00°, β = 90.00°, γ = 90.00°
Last column: magnetic moment on the atom in μB.
Fractional coordinates of all 5 atoms:
Cs: 0.500 0.500 0.500  0.02
F: 0.000 0.500 0.000  0.01
F: 0.500 0.000 0.000  0.01
Br: 0.000 0.000 0.500  0.00
La: 0.000 0.000 0.000  0.46

Output
For the raw formation energy, the calculation gives -2608 meV/atom. Its crystal system is tetragonal. Its density of states at the Fermi level is 0.775 states/eV per atom. The calculation puts the density at 4.4 Mg/m³.

CsMgBr2F: optimized geometry, PBE-GGA.

a = 5.777 Å, b = 5.777 Å, c = 4.008 Å
α = 90.00°, β = 90.00°, γ = 90.00°
Fractional coordinates of all 5 atoms:
Cs: 0.500 0.500 0.500
Mg: 0.000 0.000 0.000
Br: 0.000 0.500 0.000
Br: 0.500 0.000 0.000
F: 0.000 0.000 0.500

Output
For the raw formation energy, the calculation gives -2096 meV/atom. Its crystal system is tetragonal. Its density of states at the Fermi level is 0.000 states/eV per atom. The calculation puts the density at 4.2 Mg/m³.

Q: Among the records above, which one has the highest density?
A: CsLaBrF2